ScTeBr2: optimized geometry, GGA-PBE.

Summary:
- Formation energy from raw total energies: -47.28 kJ per mole of atoms
- Electronic total energy: -59.1 eV for the cell shown
- E above lowest polymorph: 720.5 meV/atom

Geometry as CIF:
```
data_ScTeBr2
_chemical_formula_sum 'Sc4 Te4 Br8'
_symmetry_space_group_name_H-M 'P 1'
_symmetry_Int_Tables_number 1
_symmetry_space_group_name_Hall 'P 1'
_cell_length_a 7.396
_cell_length_b 7.396
_cell_length_c 7.396
_cell_angle_alpha 90.00
_cell_angle_beta 90.00
_cell_angle_gamma 90.00
loop_
_atom_site_label
_atom_site_fract_x
_atom_site_fract_y
_atom_site_fract_z
Sc1 0.000 0.000 0.000
Sc2 0.000 0.500 0.500
Sc3 0.500 0.000 0.500
Sc4 0.500 0.500 0.000
Te1 0.250 0.250 0.750
Te2 0.250 0.750 0.250
Te3 0.750 0.250 0.250
Te4 0.750 0.750 0.750
Br1 0.000 0.000 0.500
Br2 0.000 0.500 0.000
Br3 0.250 0.250 0.250
Br4 0.250 0.750 0.750
Br5 0.500 0.000 0.000
Br6 0.500 0.500 0.500
Br7 0.750 0.250 0.750
Br8 0.750 0.750 0.250
```